1.
Compound: CaPtS
Source: Alexandria
Functional: GGA-PBE
Structure: optimized geometry

Results
Uncorrected formation energy = -0.8203 eV per atom

Lattice parameters (Å, degrees): 6.184 6.517 5.929 90.00 90.00 90.00
Space group Pnma (No. 62)
One atom of each set of equivalent atoms:
1 Ca 0.147 0.250 0.138
2 Pt 0.231 0.750 0.164
3 S 0.000 0.000 0.500


2.
Compound: Ac2YPdO6
Source: Alexandria
Functional: GGA-PBE
Structure: optimized geometry

Results
Uncorrected formation energy = -2.4813 eV per atom

Lattice parameters (Å, degrees): 5.724 8.890 6.215 90.00 90.00 90.00
Space group Pmmn (No. 59, origin choice 2)
One atom of each set of equivalent atoms:
1 Ac 0.250 0.040 0.205
2 Y 0.250 0.250 0.721
3 Pd 0.250 0.750 0.769
4 O 0.008 0.250 0.007
5 O 0.013 0.250 0.448
6 O 0.250 0.006 0.806


3.
Compound: Ta2CoRu
Source: Alexandria
Functional: GGA-PBE
Structure: optimized geometry

Lattice parameters (Å, degrees): 3.038 4.195 5.062 90.00 105.91 90.00
Space group Pm (No. 6)
One atom of each set of equivalent atoms:
1 Ta 0.000 0.000 0.000
2 Ta 0.272 0.500 0.583
3 Co 0.543 0.500 0.094
4 Ru 0.714 0.000 0.462


How do the records compare in size of the total moment? In the order shown, they have 0.00; 0.10; 0.00 μB per atom.
How do the records compare in total energy? In the order shown, they have -4.877; -7.444; -10.241 eV/atom.